Record 1
Here is a geometry-optimized CeZn2Cd10 structure from Alexandria via LeMat-Bulk. Energies are from PBE.

Structure (extended XYZ):
```
13
Lattice="0.0000 6.9571 6.9636 2.9130 0.0000 6.9636 2.9130 6.9571 0.0000" Properties=species:S:1:pos:R:3 pbc="T T T"
Ce 0.0000 0.0000 0.0000
Zn 1.4565 3.4785 0.0000
Zn 1.4565 3.4785 6.9636
Cd 1.4565 0.0000 3.4818
Cd 2.9130 2.4824 4.5943
Cd 2.9130 5.4132 5.5082
Cd 2.9130 2.4824 9.3329
Cd 2.9130 5.4132 8.4190
Cd 1.4565 6.9571 3.4818
Cd 2.9130 8.5010 5.5082
Cd 2.9130 11.4318 4.5943
Cd 2.9130 8.5010 8.4190
Cd 2.9130 11.4318 9.3329
```

Properties
**N(E_F)**: 0.77 states/eV/atom
**Space group**: No. 69
**Raw total energy**: -18.780 eV/f.u.

Record 2
Here is a geometry-optimized SrLa2UP4 structure from Alexandria via LeMat-Bulk. Energies are from PBE.

Structure (extended XYZ):
```
8
Lattice="7.2613 0.0000 0.0000 0.0000 4.1962 0.0000 -2.3935 0.0000 6.8906" Properties=species:S:1:pos:R:3 pbc="T T T"
Sr 0.0000 0.0000 0.0000
La 2.4339 0.0000 3.4453
La 3.6307 2.0981 0.0000
U -1.1968 2.0981 3.4453
P -0.0412 0.0000 5.0267
P 1.0990 2.0981 1.8764
P 3.7688 2.0981 5.0142
P 4.9090 0.0000 1.8639
```

Properties
**N(E_F)**: 0.88 states/eV/atom
**Space group**: No. 10
**Raw total energy**: -54.470 eV/f.u.

Record 3
Here is a geometry-optimized SmSc6Al structure from Alexandria via LeMat-Bulk. Energies are from PBE.

Structure (extended XYZ):
```
8
Lattice="3.4591 -5.6256 0.0000 3.4591 5.6256 0.0000 -3.3665 0.0000 5.1993" Properties=species:S:1:pos:R:3 pbc="T T T"
Sm 0.0000 0.0000 0.0000
Sc 1.0022 2.5637 1.3405
Sc -0.6089 0.0000 3.7581
Sc 1.0022 -2.5637 1.3405
Sc 2.5496 2.5637 3.8589
Sc 4.1607 0.0000 1.4412
Sc 2.5496 -2.5637 3.8589
Al 1.7759 0.0000 2.5997
```

Properties
**N(E_F)**: 1.63 states/eV/atom
**Space group**: No. 12
**Raw total energy**: -44.315 eV/f.u.

Record 4
Here is a geometry-optimized K3Ga8Ge3 structure from Alexandria via LeMat-Bulk. Energies are from PBE.

Structure (extended XYZ):
```
14
Lattice="-2.3178 5.1501 6.6740 2.3178 -5.1501 6.6740 2.3178 5.1501 -6.6740" Properties=species:S:1:pos:R:3 pbc="T T T"
K 0.0000 0.0000 0.0000
K 0.0000 0.0000 4.1475
K 0.0000 0.0000 9.2004
Ga 2.3178 -1.3498 2.1591
Ga 2.3178 -2.3424 4.6908
Ga 2.3178 1.3498 2.1591
Ga 0.0000 2.8077 1.9832
Ga 2.3178 2.3424 4.6908
Ga 0.0000 3.8003 4.5149
Ga 0.0000 7.4926 1.9832
Ga 0.0000 6.4999 4.5149
Ge 2.3178 2.9998 0.0000
Ge 0.0000 5.1501 0.0000
Ge 0.0000 2.1503 6.6740
```

Properties
**N(E_F)**: 0.32 states/eV/atom
**Space group**: No. 71
**Raw total energy**: -41.841 eV/f.u.

no.,DFT formation energy (eV per atom)
1,-0.0882
2,-1.2507
3,0.2670
4,-0.0344